[1]
Here is an optimized crystal structure of LaLuIrPd from Alexandria. Energies are from PBE.

extended XYZ file:
```
4
Lattice="0.0000 3.5207 3.5207 3.5207 0.0000 3.5207 3.5207 3.5207 0.0000" Properties=species:S:1:pos:R:3 pbc="T T T"
La 0.0000 0.0000 0.0000
Lu 3.5207 3.5207 3.5207
Ir 1.7603 1.7603 1.7603
Pd 5.2810 5.2810 5.2810
```

- total magnetization (μB/cell) = 0.003
- ΔE_f (eV/atom) = -0.799

[2]
Here is an optimized crystal structure of CsTl2Te from Alexandria. Energies are from PBE.

extended XYZ file:
```
4
Lattice="5.3158 0.0000 0.0000 0.0000 5.3158 0.0000 0.0000 0.0000 5.5223" Properties=species:S:1:pos:R:3 pbc="T T T"
Cs 0.0000 0.0000 0.0000
Tl 0.0000 2.6579 2.7611
Tl 2.6579 0.0000 2.7611
Te 2.6579 2.6579 0.0000
```

- total magnetization (μB/cell) = 0.000
- ΔE_f (raw) (meV/atom) = -321
- E above lowest polymorph (meV per atom) = 93

[3]
Here is an optimized crystal structure of FeMoC3 from Alexandria. Energies are from PBE.

extended XYZ file:
```
5
Lattice="4.0241 0.0000 0.0000 0.0000 4.0241 0.0000 0.0000 0.0000 4.0241" Properties=species:S:1:pos:R:3 pbc="T T T"
Fe 0.0000 0.0000 0.0000
Mo 2.0121 2.0121 2.0121
C 0.0000 2.0121 2.0121
C 2.0121 0.0000 2.0121
C 2.0121 2.0121 0.0000
```

- total magnetization (μB/cell) = 0.167
- ΔE_f (eV/atom) = 2.437
- E above lowest polymorph (meV per atom) = 432

[4]
Here is an optimized crystal structure of NaGa8Ge2 from Alexandria. Energies are from PBE.

extended XYZ file:
```
11
Lattice="5.4385 0.0000 0.0000 0.0000 5.4385 0.0000 0.0000 0.0000 9.0255" Properties=species:S:1:pos:R:3 pbc="T T T"
Na 0.0000 0.0000 0.0000
Ga 1.3747 1.3747 2.5238
Ga 1.3747 1.3747 6.5017
Ga 1.3747 4.0639 2.5238
Ga 1.3747 4.0639 6.5017
Ga 4.0639 1.3747 2.5238
Ga 4.0639 1.3747 6.5017
Ga 4.0639 4.0639 2.5238
Ga 4.0639 4.0639 6.5017
Ge 0.0000 2.7193 4.5127
Ge 2.7193 0.0000 4.5127
```

- total magnetization (μB/cell) = 0.000
- ΔE_f (eV/atom) = 0.128

[5]
Here is an optimized crystal structure of PrMg4Si2 from Alexandria. Energies are from PBE.

extended XYZ file:
```
14
Lattice="8.4218 0.0000 0.0000 0.0000 8.4218 0.0000 0.0000 0.0000 4.2601" Properties=species:S:1:pos:R:3 pbc="T T T"
Pr 0.0000 0.0000 0.0000
Pr 4.2109 4.2109 2.1301
Mg 0.7809 2.8494 2.1301
Mg 1.3615 4.9919 0.0000
Mg 2.8494 0.7809 2.1301
Mg 3.4300 7.0603 0.0000
Mg 4.9919 1.3615 0.0000
Mg 5.5725 7.6409 2.1301
Mg 7.0603 3.4300 0.0000
Mg 7.6409 5.5725 2.1301
Si 1.7078 6.7141 2.1301
Si 2.5031 2.5031 0.0000
Si 5.9187 5.9187 0.0000
Si 6.7141 1.7078 2.1301
```

- total magnetization (μB/cell) = 0.000
- ΔE_f (raw) (meV/atom) = -284

[6]
Here is an optimized crystal structure of YTh2Zr from Alexandria. Energies are from PBE.

extended XYZ file:
```
4
Lattice="1.7447 1.0073 11.2962 -1.7447 1.0073 11.2962 0.0000 -2.0147 11.2962" Properties=species:S:1:pos:R:3 pbc="T T T"
Y 0.0000 0.0000 0.0000
Th 0.0000 0.0000 19.7292
Th 0.0000 0.0000 25.6036
Zr 0.0000 0.0000 5.7742
```

- total magnetization (μB/cell) = 0.000
- ΔE_f (eV/atom) = 0.114
- E above lowest polymorph (meV per atom) = 20

[7]
Here is an optimized crystal structure of La3CeAs3 from Alexandria. Energies are from PBE.

extended XYZ file:
```
28
Lattice="9.1552 0.0000 0.0000 0.0000 9.1552 0.0000 0.0000 0.0000 9.1552" Properties=species:S:1:pos:R:3 pbc="T T T"
La 0.6149 3.9627 5.1925
La 1.6645 7.4906 2.9130
La 1.6722 1.6722 1.6722
La 2.9054 7.4830 6.2498
La 2.9130 1.6645 7.4906
La 3.9627 5.1925 0.6149
La 5.1925 0.6149 3.9627
La 6.2421 6.2421 6.2421
La 6.2498 2.9054 7.4830
La 7.4830 6.2498 2.9054
La 7.4906 2.9130 1.6645
La 8.5402 8.5402 8.5402
Ce 0.6266 5.2042 8.5286
Ce 3.9510 3.9510 3.9510
Ce 5.2042 8.5286 0.6266
Ce 8.5286 0.6266 5.2042
As 0.0119 2.3272 7.9996
As 1.1555 4.5895 2.2504
As 2.2504 1.1555 4.5895
As 2.3272 7.9996 0.0119
As 3.4220 4.5657 6.8280
As 4.5657 6.8280 3.4220
As 4.5895 2.2504 1.1555
As 5.7331 9.1433 6.9047
As 6.8280 3.4220 4.5657
As 6.9047 5.7331 9.1433
As 7.9996 0.0119 2.3272
As 9.1433 6.9047 5.7331
```

- total magnetization (μB/cell) = 4.698
- ΔE_f (eV/atom) = -1.288

[8]
Here is an optimized crystal structure of Sr2MgI6 from Alexandria. Energies are from PBE.

extended XYZ file:
```
18
Lattice="7.5345 0.0000 0.0000 0.0000 7.5345 0.0000 0.0000 0.0000 14.2571" Properties=species:S:1:pos:R:3 pbc="T T T"
Sr 0.0000 0.0000 2.3638
Sr 0.0000 0.0000 11.8933
Sr 3.7673 3.7673 4.7647
Sr 3.7673 3.7673 9.4924
Mg 0.0000 0.0000 7.1286
Mg 3.7673 3.7673 0.0000
I 1.4212 1.4212 4.9749
I 1.4212 1.4212 9.2822
I 1.6207 1.6207 0.0000
I 2.1466 5.3879 7.1286
I 2.3461 5.1885 2.1537
I 2.3461 5.1885 12.1035
I 5.1885 2.3461 2.1537
I 5.1885 2.3461 12.1035
I 5.3879 2.1466 7.1286
I 5.9139 5.9139 0.0000
I 6.1133 6.1133 4.9749
I 6.1133 6.1133 9.2822
```

- total magnetization (μB/cell) = 0.000
- ΔE_f (raw) (meV/atom) = -1429
- E above lowest polymorph (meV per atom) = 33

[9]
Here is an optimized crystal structure of Rb8Hg2Pb from Alexandria. Energies are from PBE.

extended XYZ file:
```
11
Lattice="11.6957 -3.3144 0.0000 11.6957 3.3144 0.0000 -2.7064 0.0000 8.4026" Properties=species:S:1:pos:R:3 pbc="T T T"
Rb -0.1183 0.0000 2.5625
Rb 2.5691 0.0000 6.7804
Rb 6.4713 0.0000 4.4722
Rb 9.3662 0.0000 0.5025
Rb 11.3188 0.0000 7.9001
Rb 14.2136 0.0000 3.9304
Rb 18.1159 0.0000 1.6222
Rb 20.8033 0.0000 5.8401
Hg 3.6318 0.0000 1.8254
Hg 17.0531 0.0000 6.5772
Pb 10.3425 0.0000 4.2013
```

- total magnetization (μB/cell) = 0.002
- ΔE_f (eV/atom) = -0.083
- E above lowest polymorph (meV per atom) = 7

[10]
Here is an optimized crystal structure of MgNiTe3 from Alexandria. Energies are from PBE.

extended XYZ file:
```
5
Lattice="5.0813 0.0000 0.0000 0.0000 5.0813 0.0000 0.0000 0.0000 5.0813" Properties=species:S:1:pos:R:3 pbc="T T T"
Mg 0.0000 0.0000 0.0000
Ni 2.5406 2.5406 2.5406
Te 0.0000 2.5406 2.5406
Te 2.5406 0.0000 2.5406
Te 2.5406 2.5406 0.0000
```

- total magnetization (μB/cell) = 0.000
- ΔE_f (raw) (meV/atom) = 139
- E above lowest polymorph (meV per atom) = 0

[11]
Here is an optimized crystal structure of Li2LaMn2 from Alexandria. Energies are from PBE.

extended XYZ file:
```
5
Lattice="-2.0434 2.0434 5.8035 2.0434 -2.0434 5.8035 2.0434 2.0434 -5.8035" Properties=species:S:1:pos:R:3 pbc="T T T"
Li 2.0434 0.0000 2.9017
Li 0.0000 2.0434 2.9017
La 0.0000 0.0000 0.0000
Mn 0.0000 0.0000 4.8482
Mn 0.0000 0.0000 6.7588
```

- total magnetization (μB/cell) = 0.000
- ΔE_f (eV/atom) = 0.523
- E above lowest polymorph (meV per atom) = 0

[12]
Here is an optimized crystal structure of Ge2OsAu from Alexandria. Energies are from PBE.

extended XYZ file:
```
8
Lattice="-2.8596 2.8596 5.6581 2.8596 -2.8596 5.6581 2.8596 2.8596 -5.6581" Properties=species:S:1:pos:R:3 pbc="T T T"
Ge 4.2893 1.2619 -1.4145
Ge 1.2619 1.4298 1.4145
Ge -1.4298 1.5977 4.2436
Ge 1.5977 1.4298 7.0727
Os 0.0000 0.0000 0.0000
Os 0.0000 2.8596 2.8291
Au 2.8596 0.0000 2.8291
Au 0.0000 0.0000 5.6581
```

- total magnetization (μB/cell) = 0.000
- ΔE_f (eV/atom) = 0.474
- E above lowest polymorph (meV per atom) = 422